[1]
{"formula": "Sr2ReHgO6", "functional": "GGA-PBE", "state": "optimized geometry", "crystal_system": "trigonal", "m_tot_mub_per_cell": 0.000, "sg": "No. 146", "total_energy_ev_per_fu": -65.09, "e_form_raw_ev_per_fu": -19.23, "lattice_angstrom": [[-4.1209, 0.6430, 4.3845], [-5.8891, -0.5542, -1.2777], [-3.0619, -5.2783, 2.0720]], "species": ["Sr", "Sr", "Re", "Hg", "O", "O", "O", "O", "O", "O"], "fractional_positions": [[0.5291, 0.5291, 0.4126], [0.0196, 0.0196, 0.9413], [0.3252, 0.3252, 0.0244], [0.7576, 0.7576, 0.7272], [0.5401, 0.2636, 0.1899], [0.2636, 0.0065, 0.1899], [0.0065, 0.5401, 0.1899], [0.4000, 0.6607, 0.7800], [0.6607, 0.1594, 0.7800], [0.1594, 0.4000, 0.7800]]}

***

[2]
{"formula": "SrReHgO6", "functional": "GGA-PBE", "state": "optimized geometry", "crystal_system": "triclinic", "m_tot_mub_per_cell": 1.059, "sg": "No. 1", "total_energy_ev_per_fu": -57.15, "e_form_raw_ev_per_fu": -12.97, "lattice_angstrom": [[-3.7102, 4.2865, 0.9827], [-5.7791, -0.6108, -0.9656], [-0.3025, -1.3971, 4.8481]], "species": ["Sr", "Re", "Hg", "O", "O", "O", "O", "O", "O"], "fractional_positions": [[0.0186, 0.0129, 0.0057], [0.3544, 0.3436, 0.4623], [0.6907, 0.6925, 0.5698], [0.0202, 0.3618, 0.3347], [0.3302, 0.0362, 0.6780], [0.6139, 0.2950, 0.6930], [0.0858, 0.5844, 0.7496], [0.3256, 0.6074, 0.2843], [0.5603, 0.0664, 0.2224]]}

***

[3]
{"formula": "TaReHg2O", "functional": "GGA-PBE", "state": "optimized geometry", "crystal_system": "tetragonal", "m_tot_mub_per_cell": 0.000, "sg": "No. 123", "total_energy_ev_per_fu": -27.20, "e_form_raw_ev_per_fu": 2.66, "lattice_angstrom": [[-4.0789, -0.8440, -2.3251], [1.9703, -1.8220, -2.7951], [-0.4845, -4.1246, 2.3471]], "species": ["Re", "Hg", "Hg", "O", "Ta"], "fractional_positions": [[0.5000, 0.5000, 0.5000], [0.0000, 0.0000, 0.5000], [0.5000, 0.0000, 0.0000], [0.0000, 0.0000, 0.0000], [0.0000, 0.5000, 0.0000]]}

***

[4]
{"formula": "TaReHgO6", "functional": "GGA-PBE", "state": "optimized geometry", "crystal_system": "orthorhombic", "m_tot_mub_per_cell": 0.000, "sg": "No. 74", "total_energy_ev_per_fu": -70.53, "e_form_raw_ev_per_fu": -16.18, "lattice_angstrom": [[7.4574, 0.0000, 0.0000], [0.0000, 7.2978, 0.0000], [-3.7287, -3.6489, 5.2661]], "species": ["Ta", "Ta", "Re", "Re", "Hg", "Hg", "O", "O", "O", "O", "O", "O", "O", "O", "O", "O", "O", "O"], "fractional_positions": [[0.5000, 0.0000, 0.5000], [0.0000, 0.0000, 0.5000], [0.5000, 0.5000, 0.0000], [0.5000, 0.0000, 0.0000], [0.8640, 0.6140, 0.7280], [0.1360, 0.3860, 0.2720], [0.4428, 0.6928, 0.8856], [0.8066, 0.0566, 0.6132], [0.7956, 0.0549, 0.2386], [0.4430, 0.6837, 0.2386], [0.4430, 0.0549, 0.2386], [0.7956, 0.6837, 0.2386], [0.5572, 0.3072, 0.1144], [0.1934, 0.9434, 0.3868], [0.2044, 0.9451, 0.7614], [0.5570, 0.3163, 0.7614], [0.5570, 0.9451, 0.7614], [0.2044, 0.3163, 0.7614]]}

***

[5]
{"formula": "TiRe2HgO", "functional": "GGA-PBE", "state": "optimized geometry", "crystal_system": "tetragonal", "m_tot_mub_per_cell": 4.155, "sg": "No. 123", "total_energy_ev_per_fu": -27.12, "e_form_raw_ev_per_fu": 10.93, "lattice_angstrom": [[-2.8637, 2.6586, 2.3643], [-3.3464, -4.0702, 0.5235], [2.0802, -1.2110, 3.8814]], "species": ["Re", "Re", "Hg", "O", "Ti"], "fractional_positions": [[0.0000, 0.0000, 0.5000], [0.5000, 0.0000, 0.0000], [0.0000, 0.5000, 0.0000], [0.5000, 0.5000, 0.5000], [0.0000, 0.0000, 0.0000]]}

***

[6]
{"formula": "TiReHgO6", "functional": "GGA-PBE", "state": "optimized geometry", "crystal_system": "trigonal", "m_tot_mub_per_cell": 0.000, "sg": "No. 143", "total_energy_ev_per_fu": -65.70, "e_form_raw_ev_per_fu": -15.31, "lattice_angstrom": [[5.1939, -0.0001, 0.0000], [2.5969, 4.4978, 0.0002], [-0.0003, -0.0011, 5.1903]], "species": ["Ti", "Re", "Hg", "O", "O", "O", "O", "O", "O"], "fractional_positions": [[0.6666, 0.6667, 0.5332], [0.3333, 0.3333, 0.4767], [0.0000, 0.0000, 0.9954], [0.0060, 0.3806, 0.2886], [0.3793, 0.0111, 0.7096], [0.6096, 0.3793, 0.7096], [0.0110, 0.6097, 0.7096], [0.3806, 0.6133, 0.2886], [0.6133, 0.0060, 0.2886]]}

***

[7]
{"formula": "Tl3Re2HgO8", "functional": "GGA-PBE", "state": "optimized geometry", "crystal_system": "trigonal", "m_tot_mub_per_cell": 0.000, "sg": "No. 164", "total_energy_ev_per_fu": -89.09, "e_form_raw_ev_per_fu": -17.13, "lattice_angstrom": [[-2.8903, 5.4376, 1.8405], [-0.4927, -5.2864, 3.6222], [7.8893, 2.5638, 4.8149]], "species": ["Tl", "Tl", "Tl", "Re", "Re", "Hg", "O", "O", "O", "O", "O", "O", "O", "O"], "fractional_positions": [[0.3333, 0.6667, 0.7053], [0.6667, 0.3333, 0.2947], [0.0000, 0.0000, 0.0000], [0.3333, 0.6667, 0.1513], [0.6667, 0.3333, 0.8487], [0.0000, 0.0000, 0.5000], [0.3333, 0.6667, 0.9650], [0.6667, 0.3333, 0.0350], [0.1834, 0.8166, 0.2135], [0.8166, 0.1834, 0.7865], [0.1834, 0.3669, 0.2135], [0.8166, 0.6331, 0.7865], [0.6331, 0.8166, 0.2135], [0.3669, 0.1834, 0.7865]]}

***

[8]
{"formula": "Y2ReHgO8", "functional": "GGA-PBE", "state": "optimized geometry", "crystal_system": "triclinic", "m_tot_mub_per_cell": 0.000, "sg": "No. 2", "total_energy_ev_per_fu": -89.71, "e_form_raw_ev_per_fu": -24.37, "lattice_angstrom": [[-4.2702, -2.0184, 1.4354], [2.1018, -0.5950, 4.4277], [-2.1200, 6.4683, 2.1042]], "species": ["Y", "Y", "Re", "Hg", "O", "O", "O", "O", "O", "O", "O", "O"], "fractional_positions": [[0.4872, 0.5119, 0.7506], [0.5128, 0.4881, 0.2494], [0.0000, 0.0000, 0.0000], [0.0000, 0.0000, 0.5000], [0.1982, 0.8002, 0.1750], [0.7181, 0.7191, 0.9995], [0.8304, 0.1691, 0.2048], [0.8018, 0.1998, 0.8250], [0.2819, 0.2809, 0.0005], [0.1696, 0.8309, 0.7952], [0.6970, 0.6973, 0.5002], [0.3030, 0.3027, 0.4998]]}